1.
A geometry-optimized Tb5YHg6 structure, computed with GGA-PBE.

Cell lengths 8.357, 8.357, 7.490 Å; angles 90.00, 90.00, 143.23 degrees
Positions (direct):
1 Tb 0.000 0.000 0.000
2 Tb 0.333 0.667 0.000
3 Tb 0.334 0.666 0.500
4 Tb 0.666 0.334 0.500
5 Tb 0.667 0.333 0.000
6 Y 0.000 0.000 0.500
7 Hg 0.167 0.833 0.250
8 Hg 0.167 0.833 0.750
9 Hg 0.500 0.500 0.250
10 Hg 0.500 0.500 0.750
11 Hg 0.833 0.167 0.250
12 Hg 0.833 0.167 0.750

Results
* ΔE_f: -5.8 eV/f.u.
* symmetry: Cmmm
* total moment: 0.62 μB/f.u.

2.
A geometry-optimized Tb2YHg3 structure, computed with GGA-PBE.

Cell lengths 5.275, 5.275, 12.969 Å; angles 90.00, 90.00, 120.00 degrees
Positions (direct):
1 Tb 0.000 0.000 0.000
2 Tb 0.000 0.000 0.500
3 Tb 0.333 0.667 0.167
4 Tb 0.667 0.333 0.833
5 Y 0.333 0.667 0.667
6 Y 0.667 0.333 0.333
7 Hg 0.000 0.000 0.250
8 Hg 0.000 0.000 0.750
9 Hg 0.333 0.667 0.417
10 Hg 0.333 0.667 0.917
11 Hg 0.667 0.333 0.083
12 Hg 0.667 0.333 0.583

Results
* ΔE_f: -2.9 eV/f.u.
* symmetry: P-3m1
* total moment: 0.48 μB/f.u.

3.
A geometry-optimized TbY3Hg6 structure, computed with GGA-PBE.

Cell lengths 9.177, 5.162, 11.137 Å; angles 90.00, 106.71, 90.00 degrees
Positions (direct):
1 Tb 0.063 0.250 0.389
2 Tb 0.937 0.750 0.611
3 Y 0.229 0.250 0.007
4 Y 0.353 0.750 0.799
5 Y 0.484 0.250 0.613
6 Y 0.516 0.750 0.387
7 Y 0.647 0.250 0.201
8 Y 0.771 0.750 0.993
9 Hg 0.063 0.750 0.898
10 Hg 0.140 0.750 0.200
11 Hg 0.162 0.250 0.687
12 Hg 0.243 0.750 0.511
13 Hg 0.350 0.250 0.298
14 Hg 0.465 0.750 0.091
15 Hg 0.535 0.250 0.909
16 Hg 0.650 0.750 0.702
17 Hg 0.757 0.250 0.489
18 Hg 0.838 0.750 0.313
19 Hg 0.860 0.250 0.800
20 Hg 0.937 0.250 0.102

Results
* ΔE_f: -4.5 eV/f.u.
* symmetry: P2_1/m
* total moment: 0.00 μB/f.u.

4.
A geometry-optimized Tb2Y3Hg3 structure, computed with GGA-PBE.

Cell lengths 3.739, 5.306, 22.154 Å; angles 90.00, 90.00, 90.00 degrees
Positions (direct):
1 Tb 0.000 0.000 0.232
2 Tb 0.000 0.000 0.768
3 Tb 0.500 0.500 0.268
4 Tb 0.500 0.500 0.732
5 Y 0.000 0.000 0.000
6 Y 0.000 0.500 0.121
7 Y 0.000 0.500 0.879
8 Y 0.500 0.000 0.379
9 Y 0.500 0.000 0.621
10 Y 0.500 0.500 0.500
11 Hg 0.000 0.000 0.500
12 Hg 0.000 0.500 0.382
13 Hg 0.000 0.500 0.618
14 Hg 0.500 0.000 0.118
15 Hg 0.500 0.000 0.882
16 Hg 0.500 0.500 0.000

Results
* ΔE_f: -3.0 eV/f.u.
* symmetry: Immm
* total moment: 0.00 μB/f.u.

5.
A geometry-optimized Tb3YHg12 structure, computed with GGA-PBE.

Cell lengths 4.528, 4.528, 19.228 Å; angles 90.00, 90.00, 90.00 degrees
Positions (direct):
1 Tb 0.000 0.000 0.000
2 Tb 0.000 0.000 0.250
3 Tb 0.000 0.000 0.750
4 Y 0.000 0.000 0.500
5 Hg 0.000 0.500 0.125
6 Hg 0.000 0.500 0.375
7 Hg 0.000 0.500 0.625
8 Hg 0.000 0.500 0.875
9 Hg 0.500 0.000 0.125
10 Hg 0.500 0.000 0.375
11 Hg 0.500 0.000 0.625
12 Hg 0.500 0.000 0.875
13 Hg 0.500 0.500 0.000
14 Hg 0.500 0.500 0.250
15 Hg 0.500 0.500 0.500
16 Hg 0.500 0.500 0.750

Results
* ΔE_f: -5.2 eV/f.u.
* symmetry: P4/mmm
* total moment: 0.00 μB/f.u.

6.
A geometry-optimized TbYHg2 structure, computed with GGA-PBE.

Cell lengths 3.778, 3.778, 27.377 Å; angles 90.00, 90.00, 120.00 degrees
Positions (direct):
1 Tb 0.000 0.000 0.000
2 Tb 0.333 0.667 0.667
3 Tb 0.667 0.333 0.333
4 Y 0.000 0.000 0.166
5 Y 0.333 0.667 0.833
6 Y 0.667 0.333 0.500
7 Hg 0.000 0.000 0.416
8 Hg 0.000 0.000 0.583
9 Hg 0.333 0.667 0.083
10 Hg 0.333 0.667 0.250
11 Hg 0.667 0.333 0.750
12 Hg 0.667 0.333 0.917

Results
* offset from the most stable computed form: 0.62 eV/f.u.
* ΔE_f: -1.4 eV/f.u.
* symmetry: R3m
* total moment: 0.00 μB/f.u.

7.
A geometry-optimized Tb3YHg7 structure, computed with GGA-PBE.

Cell lengths 15.560, 15.560, 12.908 Å; angles 90.00, 90.00, 166.70 degrees
Positions (direct):
1 Tb 0.070 0.930 0.548
2 Tb 0.070 0.930 0.952
3 Tb 0.189 0.811 0.250
4 Tb 0.811 0.189 0.750
5 Tb 0.930 0.070 0.048
6 Tb 0.930 0.070 0.452
7 Y 0.070 0.930 0.250
8 Y 0.930 0.070 0.750
9 Hg 0.269 0.731 0.579
10 Hg 0.269 0.731 0.921
11 Hg 0.372 0.628 0.602
12 Hg 0.372 0.628 0.898
13 Hg 0.426 0.574 0.250
14 Hg 0.488 0.512 0.613
15 Hg 0.488 0.512 0.887
16 Hg 0.512 0.488 0.113
17 Hg 0.512 0.488 0.387
18 Hg 0.574 0.426 0.750
19 Hg 0.628 0.372 0.102
20 Hg 0.628 0.372 0.398
21 Hg 0.731 0.269 0.079
22 Hg 0.731 0.269 0.421

Results
* ΔE_f: -2.4 eV/f.u.
* symmetry: Cmcm
* total moment: 0.00 μB/f.u.

8.
A geometry-optimized TbY4Hg5 structure, computed with GGA-PBE.

Cell lengths 3.729, 3.729, 18.669 Å; angles 90.00, 90.00, 90.00 degrees
Positions (direct):
1 Tb 0.000 0.000 0.000
2 Y 0.000 0.000 0.200
3 Y 0.000 0.000 0.400
4 Y 0.000 0.000 0.600
5 Y 0.000 0.000 0.800
6 Hg 0.500 0.500 0.100
7 Hg 0.500 0.500 0.300
8 Hg 0.500 0.500 0.500
9 Hg 0.500 0.500 0.700
10 Hg 0.500 0.500 0.900

Results
* ΔE_f: -5.1 eV/f.u.
* symmetry: P4/mmm
* total moment: 0.00 μB/f.u.

9.
A geometry-optimized TbY3Hg7 structure, computed with GGA-PBE.

Cell lengths 15.647, 15.647, 12.685 Å; angles 90.00, 90.00, 166.67 degrees
Positions (direct):
1 Tb 0.071 0.929 0.750
2 Tb 0.929 0.071 0.250
3 Y 0.069 0.931 0.048
4 Y 0.069 0.931 0.452
5 Y 0.190 0.810 0.750
6 Y 0.810 0.190 0.250
7 Y 0.931 0.069 0.548
8 Y 0.931 0.069 0.952
9 Hg 0.269 0.731 0.078
10 Hg 0.269 0.731 0.422
11 Hg 0.371 0.629 0.100
12 Hg 0.371 0.629 0.400
13 Hg 0.422 0.578 0.750
14 Hg 0.489 0.511 0.117
15 Hg 0.489 0.511 0.383
16 Hg 0.511 0.489 0.617
17 Hg 0.511 0.489 0.883
18 Hg 0.578 0.422 0.250
19 Hg 0.629 0.371 0.600
20 Hg 0.629 0.371 0.900
21 Hg 0.731 0.269 0.578
22 Hg 0.731 0.269 0.922

Results
* ΔE_f: -2.5 eV/f.u.
* symmetry: Cmcm
* total moment: 0.00 μB/f.u.

10.
A geometry-optimized Tb2YHg3 structure, computed with GGA-PBE.

Cell lengths 5.275, 5.275, 6.486 Å; angles 90.00, 90.00, 120.00 degrees
Positions (direct):
1 Tb 0.333 0.667 0.168
2 Tb 0.667 0.333 0.832
3 Y 0.000 0.000 0.500
4 Hg 0.000 0.000 0.000
5 Hg 0.333 0.667 0.668
6 Hg 0.667 0.333 0.332

Results
* ΔE_f: -2.9 eV/f.u.
* symmetry: P-3m1
* total moment: 0.47 μB/f.u.

11.
A geometry-optimized TbY2Hg5 structure, computed with GGA-PBE.

Cell lengths 5.213, 5.213, 14.616 Å; angles 90.00, 90.00, 90.00 degrees
Positions (direct):
1 Tb 0.000 0.000 0.000
2 Tb 0.500 0.500 0.500
3 Y 0.000 0.000 0.265
4 Y 0.000 0.000 0.735
5 Y 0.500 0.500 0.235
6 Y 0.500 0.500 0.765
7 Hg 0.000 0.000 0.500
8 Hg 0.000 0.500 0.124
9 Hg 0.000 0.500 0.376
10 Hg 0.000 0.500 0.624
11 Hg 0.000 0.500 0.876
12 Hg 0.500 0.000 0.124
13 Hg 0.500 0.000 0.376
14 Hg 0.500 0.000 0.624
15 Hg 0.500 0.000 0.876
16 Hg 0.500 0.500 0.000

Results
* ΔE_f: -3.5 eV/f.u.
* symmetry: I4/mmm
* total moment: 0.00 μB/f.u.

12.
A geometry-optimized TbYHg4 structure, computed with GGA-PBE.

Cell lengths 11.839, 3.637, 7.310 Å; angles 90.00, 107.98, 90.00 degrees
Positions (direct):
1 Tb 0.000 0.000 0.000
2 Tb 0.500 0.500 0.000
3 Y 0.000 0.000 0.500
4 Y 0.500 0.500 0.500
5 Hg 0.168 0.500 0.334
6 Hg 0.168 0.500 0.835
7 Hg 0.332 0.000 0.165
8 Hg 0.332 0.000 0.666
9 Hg 0.668 0.000 0.334
10 Hg 0.668 0.000 0.835
11 Hg 0.832 0.500 0.165
12 Hg 0.832 0.500 0.666

Results
* offset from the most stable computed form: 0.33 eV/f.u.
* ΔE_f: -2.1 eV/f.u.
* symmetry: C2/m
* total moment: 0.30 μB/f.u.

13.
A geometry-optimized Tb6YHg2 structure, computed with GGA-PBE.

Cell lengths 6.588, 6.588, 11.876 Å; angles 108.11, 108.11, 32.97 degrees
Positions (direct):
1 Tb 0.016 0.016 0.338
2 Tb 0.311 0.311 0.124
3 Tb 0.311 0.311 0.414
4 Tb 0.689 0.689 0.586
5 Tb 0.689 0.689 0.876
6 Tb 0.984 0.984 0.662
7 Y 0.000 0.000 0.000
8 Hg 0.357 0.357 0.795
9 Hg 0.643 0.643 0.205

Results
* ΔE_f: -1.9 eV/f.u.
* symmetry: C2/m
* total moment: 0.00 μB/f.u.

14.
A geometry-optimized TbY2Hg6 structure, computed with GGA-PBE.

Cell lengths 8.568, 8.568, 3.464 Å; angles 90.00, 90.00, 120.00 degrees
Positions (direct):
1 Tb 0.000 0.000 0.000
2 Y 0.333 0.667 0.000
3 Y 0.667 0.333 0.000
4 Hg 0.000 0.333 0.500
5 Hg 0.000 0.667 0.500
6 Hg 0.333 0.000 0.500
7 Hg 0.333 0.333 0.500
8 Hg 0.667 0.000 0.500
9 Hg 0.667 0.667 0.500

Results
* ΔE_f: -3.6 eV/f.u.
* symmetry: P6/mmm
* total moment: 0.38 μB/f.u.

15.
A geometry-optimized TbYHg2 structure, computed with GGA-PBE.

Cell lengths 5.258, 5.258, 3.763 Å; angles 90.00, 90.00, 90.00 degrees
Positions (direct):
1 Tb 0.000 0.000 0.000
2 Y 0.500 0.500 0.000
3 Hg 0.000 0.500 0.500
4 Hg 0.500 0.000 0.500

Results
* offset from the most stable computed form: 0.00 eV/f.u.
* ΔE_f: -2.0 eV/f.u.
* symmetry: P4/mmm
* total moment: 0.21 μB/f.u.

16.
A geometry-optimized Tb2Y6Hg structure, computed with GGA-PBE.

Cell lengths 9.340, 3.546, 9.884 Å; angles 90.00, 118.15, 90.00 degrees
Positions (direct):
1 Tb 0.182 0.000 0.363
2 Tb 0.818 0.000 0.637
3 Y 0.162 0.500 0.676
4 Y 0.205 0.000 0.000
5 Y 0.485 0.500 0.324
6 Y 0.515 0.500 0.676
7 Y 0.795 0.000 0.000
8 Y 0.838 0.500 0.324
9 Hg 0.500 0.500 0.000

Results
* ΔE_f: 0.3 eV/f.u.
* symmetry: P2/m
* total moment: 0.00 μB/f.u.

17.
A geometry-optimized TbYHg2 structure, computed with GGA-PBE.

Cell lengths 7.466, 7.466, 7.466 Å; angles 90.00, 90.00, 90.00 degrees
Positions (direct):
1 Tb 0.000 0.000 0.000
2 Tb 0.000 0.500 0.500
3 Tb 0.500 0.000 0.500
4 Tb 0.500 0.500 0.000
5 Y 0.000 0.000 0.500
6 Y 0.000 0.500 0.000
7 Y 0.500 0.000 0.000
8 Y 0.500 0.500 0.500
9 Hg 0.250 0.250 0.250
10 Hg 0.250 0.250 0.750
11 Hg 0.250 0.750 0.250
12 Hg 0.250 0.750 0.750
13 Hg 0.750 0.250 0.250
14 Hg 0.750 0.250 0.750
15 Hg 0.750 0.750 0.250
16 Hg 0.750 0.750 0.750

Results
* offset from the most stable computed form: 0.01 eV/f.u.
* ΔE_f: -2.0 eV/f.u.
* symmetry: Fm-3m
* total moment: 0.39 μB/f.u.

18.
A geometry-optimized Tb5YHg3 structure, computed with GGA-PBE.

Cell lengths 9.115, 9.115, 6.955 Å; angles 90.00, 90.00, 120.00 degrees
Positions (direct):
1 Tb 0.000 0.334 0.250
2 Tb 0.000 0.666 0.750
3 Tb 0.333 0.667 0.000
4 Tb 0.333 0.667 0.500
5 Tb 0.334 0.000 0.250
6 Tb 0.334 0.334 0.750
7 Tb 0.666 0.000 0.750
8 Tb 0.666 0.666 0.250
9 Tb 0.667 0.333 0.000
10 Tb 0.667 0.333 0.500
11 Y 0.000 0.000 0.000
12 Y 0.000 0.000 0.500
13 Hg 0.000 0.332 0.750
14 Hg 0.000 0.668 0.250
15 Hg 0.332 0.000 0.750
16 Hg 0.332 0.332 0.250
17 Hg 0.668 0.000 0.250
18 Hg 0.668 0.668 0.750

Results
* ΔE_f: -2.8 eV/f.u.
* symmetry: P6_3/mcm
* total moment: 0.00 μB/f.u.

19.
A geometry-optimized Tb2YHg5 structure, computed with GGA-PBE.

Cell lengths 5.210, 5.210, 14.680 Å; angles 90.00, 90.00, 90.00 degrees
Positions (direct):
1 Tb 0.000 0.000 0.235
2 Tb 0.000 0.000 0.765
3 Tb 0.500 0.500 0.265
4 Tb 0.500 0.500 0.735
5 Y 0.000 0.000 0.500
6 Y 0.500 0.500 0.000
7 Hg 0.000 0.000 0.000
8 Hg 0.000 0.500 0.124
9 Hg 0.000 0.500 0.376
10 Hg 0.000 0.500 0.624
11 Hg 0.000 0.500 0.876
12 Hg 0.500 0.000 0.124
13 Hg 0.500 0.000 0.376
14 Hg 0.500 0.000 0.624
15 Hg 0.500 0.000 0.876
16 Hg 0.500 0.500 0.500

Results
* ΔE_f: -3.4 eV/f.u.
* symmetry: I4/mmm
* total moment: 0.00 μB/f.u.

20.
A geometry-optimized TbY3Hg12 structure, computed with GGA-PBE.

Cell lengths 4.526, 4.526, 19.212 Å; angles 90.00, 90.00, 90.00 degrees
Positions (direct):
1 Tb 0.000 0.000 0.000
2 Y 0.000 0.000 0.250
3 Y 0.000 0.000 0.500
4 Y 0.000 0.000 0.750
5 Hg 0.000 0.500 0.125
6 Hg 0.000 0.500 0.375
7 Hg 0.000 0.500 0.625
8 Hg 0.000 0.500 0.875
9 Hg 0.500 0.000 0.125
10 Hg 0.500 0.000 0.375
11 Hg 0.500 0.000 0.625
12 Hg 0.500 0.000 0.875
13 Hg 0.500 0.500 0.000
14 Hg 0.500 0.500 0.250
15 Hg 0.500 0.500 0.500
16 Hg 0.500 0.500 0.750

Results
* ΔE_f: -5.3 eV/f.u.
* symmetry: P4/mmm
* total moment: 0.00 μB/f.u.